## a
Here is BaMg2Tc after structural relaxation from the Alexandria database. Energies are from PBE.

Structure (CIF):
```
data_BaMg2Tc
_space_group_name_H-M_alt 'P 1'
_space_group_IT_number 1
_cell_length_a 7.062
_cell_length_b 5.607
_cell_length_c 3.278
_cell_angle_alpha 90.07
_cell_angle_beta 62.22
_cell_angle_gamma 119.57
loop_
_space_group_symop_operation_xyz
'x,y,z'
loop_
_atom_site_label
_atom_site_type_symbol
_atom_site_fract_x
_atom_site_fract_y
_atom_site_fract_z
_atom_site_occupancy
Ba1 Ba 0.500 0.500 0.000 1
Mg1 Mg 0.000 0.000 0.000 1
Mg2 Mg 0.500 0.000 0.500 1
Tc1 Tc 0.000 0.500 0.500 1
```

Output
**DOS at the Fermi energy**: 2.40 states/eV/cell
**Symmetry**: C2/m


## b
Here is BaMg2Tc after structural relaxation from the Alexandria database. Energies are from PBE.

Structure (CIF):
```
data_BaMg2Tc
_space_group_name_H-M_alt 'P 1'
_space_group_IT_number 1
_cell_length_a 5.015
_cell_length_b 5.015
_cell_length_c 7.066
_cell_angle_alpha 81.61
_cell_angle_beta 81.61
_cell_angle_gamma 38.79
loop_
_space_group_symop_operation_xyz
'x,y,z'
loop_
_atom_site_label
_atom_site_type_symbol
_atom_site_fract_x
_atom_site_fract_y
_atom_site_fract_z
_atom_site_occupancy
Ba1 Ba 0.761 0.761 0.713 1
Mg1 Mg 0.991 0.991 0.096 1
Mg2 Mg 0.242 0.242 0.286 1
Tc1 Tc 0.506 0.506 0.405 1
```

Output
**DOS at the Fermi energy**: 3.55 states/eV/cell
**Symmetry**: Cm


In terms of stability, b leads; the second structure lies 178 meV per atom higher.


## a
Here is BaMg2Tc after structural relaxation from the Alexandria database. Energies are from PBE.

Structure (CIF):
```
data_BaMg2Tc
_space_group_name_H-M_alt 'P 1'
_space_group_IT_number 1
_cell_length_a 4.938
_cell_length_b 4.569
_cell_length_c 4.569
_cell_angle_alpha 90.00
_cell_angle_beta 90.00
_cell_angle_gamma 90.00
loop_
_space_group_symop_operation_xyz
'x,y,z'
loop_
_atom_site_label
_atom_site_type_symbol
_atom_site_fract_x
_atom_site_fract_y
_atom_site_fract_z
_atom_site_occupancy
Ba1 Ba 0.500 0.000 0.500 1
Mg1 Mg 0.000 0.000 0.000 1
Mg2 Mg 0.000 0.500 0.500 1
Tc1 Tc 0.500 0.500 0.000 1
```

Output
**DOS at the Fermi energy**: 3.14 states/eV/cell
**Symmetry**: P4/mmm


## b
Here is BaMg2Tc after structural relaxation from the Alexandria database. Energies are from PBE.

Structure (CIF):
```
data_BaMg2Tc
_space_group_name_H-M_alt 'P 1'
_space_group_IT_number 1
_cell_length_a 3.376
_cell_length_b 3.376
_cell_length_c 8.808
_cell_angle_alpha 90.00
_cell_angle_beta 90.00
_cell_angle_gamma 89.98
loop_
_space_group_symop_operation_xyz
'x,y,z'
loop_
_atom_site_label
_atom_site_type_symbol
_atom_site_fract_x
_atom_site_fract_y
_atom_site_fract_z
_atom_site_occupancy
Ba1 Ba 0.500 0.500 0.750 1
Mg1 Mg 0.000 0.000 0.077 1
Mg2 Mg 0.000 0.000 0.423 1
Tc1 Tc 0.500 0.500 0.250 1
```

Output
**DOS at the Fermi energy**: 3.57 states/eV/cell
**Symmetry**: P4/mmm


In terms of stability, b leads; the second structure lies 321 meV per atom higher.


## a
Here is BaMg2Tc after structural relaxation from the Alexandria database. Energies are from PBE.

Structure (CIF):
```
data_BaMg2Tc
_space_group_name_H-M_alt 'P 1'
_space_group_IT_number 1
_cell_length_a 6.467
_cell_length_b 6.467
_cell_length_c 5.444
_cell_angle_alpha 65.90
_cell_angle_beta 65.90
_cell_angle_gamma 30.40
loop_
_space_group_symop_operation_xyz
'x,y,z'
loop_
_atom_site_label
_atom_site_type_symbol
_atom_site_fract_x
_atom_site_fract_y
_atom_site_fract_z
_atom_site_occupancy
Ba1 Ba 0.750 0.750 0.750 1
Mg1 Mg 0.950 0.950 0.053 1
Mg2 Mg 0.550 0.550 0.447 1
Tc1 Tc 0.250 0.250 0.250 1
```

Output
**DOS at the Fermi energy**: 3.02 states/eV/cell
**Symmetry**: C2/m


## b
Here is BaMg2Tc after structural relaxation from the Alexandria database. Energies are from PBE.

Structure (CIF):
```
data_BaMg2Tc
_space_group_name_H-M_alt 'P 1'
_space_group_IT_number 1
_cell_length_a 5.614
_cell_length_b 5.614
_cell_length_c 5.614
_cell_angle_alpha 131.55
_cell_angle_beta 131.55
_cell_angle_gamma 70.95
loop_
_space_group_symop_operation_xyz
'x,y,z'
loop_
_atom_site_label
_atom_site_type_symbol
_atom_site_fract_x
_atom_site_fract_y
_atom_site_fract_z
_atom_site_occupancy
Ba1 Ba 0.750 0.250 0.500 1
Mg1 Mg 0.000 0.000 0.000 1
Mg2 Mg 0.500 0.500 0.000 1
Tc1 Tc 0.250 0.750 0.500 1
```

Output
**DOS at the Fermi energy**: 5.12 states/eV/cell
**Symmetry**: I4/mmm


In terms of stability, a leads; the second structure lies 108 meV per atom higher.